(1)
# In2RhSe2 PBE optimized geometry
data_In2RhSe2
_cell_length_a 6.2552
_cell_length_b 6.1805
_cell_length_c 12.2310
_cell_angle_alpha 90.00
_cell_angle_beta 90.30
_cell_angle_gamma 90.00
_symmetry_space_group_name_H-M 'C 1 2/c 1'
_symmetry_Int_Tables_number 15
loop_
_symmetry_equiv_pos_as_xyz
'x,y,z'
'-x,-y,-z'
'-x,y,-z+1/2'
'x,-y,z+1/2'
'x+1/2,y+1/2,z'
'-x+1/2,-y+1/2,-z'
'-x+1/2,y+1/2,-z+1/2'
'x+1/2,-y+1/2,z+1/2'
loop_
_atom_site_label
_atom_site_fract_x
_atom_site_fract_y
_atom_site_fract_z
_atom_site_occupancy
In1 0.1986 0.2043 0.3880 1
Rh1 0.0000 0.4926 0.2500 1
Se1 0.2294 0.2440 0.8617 1
# distance to the lowest polymorph of the same formula	0	meV per atom
# formation energy without anion corrections	-0.2779	eV/atom
# crystal system	monoclinic
# Fermi-level density of states	0.417	states/eV/atom

(2)
# In2RhSe PBE optimized geometry
data_In2RhSe
_cell_length_a 3.2398
_cell_length_b 3.2398
_cell_length_c 8.2476
_cell_angle_alpha 90.00
_cell_angle_beta 90.00
_cell_angle_gamma 90.00
_symmetry_space_group_name_H-M 'P 4 m m'
_symmetry_Int_Tables_number 99
loop_
_symmetry_equiv_pos_as_xyz
'x,y,z'
'-y,x,z'
'-x,-y,z'
'y,-x,z'
'-x,y,z'
'y,x,z'
'x,-y,z'
'-y,-x,z'
loop_
_atom_site_label
_atom_site_fract_x
_atom_site_fract_y
_atom_site_fract_z
_atom_site_occupancy
In1 0.0000 0.0000 0.0000 1
In2 0.5000 0.5000 0.2997 1
Rh1 0.0000 0.0000 0.5390 1
Se1 0.5000 0.5000 0.6796 1
# formation energy without anion corrections	-0.0938	eV/atom
# crystal system	tetragonal
# Fermi-level density of states	0.609	states/eV/atom

(3)
# In2RhSe PBE optimized geometry
data_In2RhSe
_cell_length_a 3.5153
_cell_length_b 3.4636
_cell_length_c 6.7165
_cell_angle_alpha 90.00
_cell_angle_beta 98.90
_cell_angle_gamma 90.00
_symmetry_space_group_name_H-M 'P 1 2/m 1'
_symmetry_Int_Tables_number 10
loop_
_symmetry_equiv_pos_as_xyz
'x,y,z'
'-x,-y,-z'
'-x,y,-z'
'x,-y,z'
loop_
_atom_site_label
_atom_site_fract_x
_atom_site_fract_y
_atom_site_fract_z
_atom_site_occupancy
In1 0.0329 0.0000 0.2274 1
Rh1 0.5000 0.5000 0.0000 1
Se1 0.5000 0.5000 0.5000 1
# formation energy without anion corrections	-0.1040	eV/atom
# crystal system	monoclinic
# Fermi-level density of states	0.679	states/eV/atom